(1)
Tb4Ho3Sc2: optimized geometry, PBE.

Structure (POSCAR):
```
Tb4Ho3Sc2
1.0
6.170 0.460 0.330
0.932 9.509 -1.043
0.932 2.077 9.338
Sc Tb Ho
4 8 6
Direct
0.380 0.871 0.498 Sc
0.880 0.498 0.871 Sc
0.120 0.502 0.129 Sc
0.620 0.129 0.502 Sc
0.129 0.211 0.368 Tb
0.970 0.834 0.959 Tb
0.629 0.368 0.211 Tb
0.871 0.789 0.632 Tb
0.371 0.632 0.789 Tb
0.530 0.041 0.166 Tb
0.470 0.959 0.834 Tb
0.030 0.166 0.041 Tb
0.508 0.704 0.123 Ho
0.492 0.296 0.877 Ho
0.750 0.458 0.542 Ho
0.992 0.877 0.296 Ho
0.008 0.123 0.704 Ho
0.250 0.542 0.458 Ho
```

Output
Formation enthalpy at 0 K ... 0.154 eV per atom
E above lowest polymorph ... 50 meV/atom

(2)
EuCuHg2: optimized geometry, PBE.

Structure (POSCAR):
```
EuCuHg2
1.0
4.686 0.000 0.000
2.343 4.058 0.000
2.343 1.353 5.192
Eu Hg Cu
1 2 1
Direct
0.000 0.000 0.000 Eu
0.218 0.218 0.345 Hg
0.782 0.782 0.655 Hg
0.500 0.500 0.500 Cu
```

Output
Formation enthalpy at 0 K ... -0.207 eV per atom
E above lowest polymorph ... 0 meV/atom

(3)
Li2ZnHg2: optimized geometry, PBE.

Structure (POSCAR):
```
Li2ZnHg2
1.0
-3.241 0.800 1.648
-1.205 -3.453 -0.693
0.403 -3.490 6.689
Li Hg Zn
2 2 1
Direct
0.250 0.750 0.500 Li
0.750 0.250 0.500 Li
0.607 0.607 0.785 Hg
0.393 0.393 0.215 Hg
0.000 0.000 0.000 Zn
```

Output
Formation enthalpy at 0 K ... -0.087 eV per atom
E above lowest polymorph ... 126 meV/atom

(4)
Sr8Ta: optimized geometry, PBE.

Structure (POSCAR):
```
Sr8Ta
1.0
3.595 -5.732 6.152
0.854 8.155 -4.050
-7.139 2.401 5.186
Ta Sr
1 8
Direct
0.000 0.000 0.000 Ta
0.348 0.652 0.000 Sr
0.679 0.000 0.679 Sr
0.652 0.348 0.000 Sr
0.652 0.652 0.304 Sr
0.348 0.348 0.696 Sr
0.321 0.000 0.321 Sr
0.000 0.679 0.679 Sr
0.000 0.321 0.321 Sr
```

Output
Formation enthalpy at 0 K ... 0.419 eV per atom

(5)
BaIn2As: optimized geometry, PBE.

Structure (POSCAR):
```
BaIn2As
1.0
-5.344 6.858 -1.592
-2.233 0.244 8.549
-1.293 5.633 4.071
As In Ba
2 4 2
Direct
0.500 0.500 0.000 As
0.250 0.750 0.500 As
0.875 0.814 0.750 In
0.564 0.125 0.250 In
0.186 0.625 0.250 In
0.375 0.436 0.750 In
0.750 0.250 0.500 Ba
0.000 0.000 0.000 Ba
```

Output
Formation enthalpy at 0 K ... -0.410 eV per atom

(6)
UTa2Nb: optimized geometry, PBE.

Structure (POSCAR):
```
UTa2Nb
1.0
2.905 0.000 0.000
1.453 2.516 0.000
1.453 0.839 10.664
Nb Ta U
1 2 1
Direct
0.500 0.500 0.500 Nb
0.753 0.753 0.741 Ta
0.247 0.247 0.259 Ta
0.000 0.000 0.000 U
```

Output
Formation enthalpy at 0 K ... 0.314 eV per atom
E above lowest polymorph ... 118 meV/atom

(7)
NaFeH4: optimized geometry, PBE.

Structure (POSCAR):
```
NaFeH4
1.0
4.313 0.000 0.016
0.000 4.286 0.000
-0.028 0.000 5.154
H Na Fe
8 2 2
Direct
0.747 0.747 0.618 H
0.001 0.450 0.804 H
0.753 0.247 0.382 H
0.501 0.050 0.804 H
0.999 0.550 0.196 H
0.253 0.253 0.382 H
0.499 0.950 0.196 H
0.247 0.753 0.618 H
0.500 0.500 0.000 Na
0.000 0.000 0.000 Na
0.000 0.500 0.500 Fe
0.500 0.000 0.500 Fe
```

(8)
LiSi3H12: optimized geometry, PBE.

Structure (POSCAR):
```
LiSi3H12
1.0
6.463 0.000 3.121
2.478 5.969 3.121
-0.508 -0.339 9.303
H Si Li
24 6 2
Direct
0.589 0.983 0.461 H
0.139 0.067 0.038 H
0.256 0.567 0.538 H
0.366 0.389 0.339 H
0.983 0.968 0.461 H
0.067 0.756 0.038 H
0.185 0.252 0.650 H
0.905 0.366 0.339 H
0.866 0.405 0.839 H
0.389 0.905 0.339 H
0.252 0.913 0.650 H
0.756 0.139 0.038 H
0.567 0.639 0.538 H
0.752 0.685 0.150 H
0.089 0.468 0.961 H
0.413 0.752 0.150 H
0.483 0.089 0.961 H
0.685 0.413 0.150 H
0.889 0.866 0.839 H
0.405 0.889 0.839 H
0.913 0.185 0.650 H
0.468 0.483 0.961 H
0.968 0.589 0.461 H
0.639 0.256 0.538 H
0.429 0.888 0.493 Si
0.929 0.689 0.993 Si
0.888 0.189 0.493 Si
0.689 0.388 0.993 Si
0.189 0.429 0.493 Si
0.388 0.929 0.993 Si
0.043 0.043 0.871 Li
0.543 0.543 0.371 Li
```

(9)
SmDy3Ho4S8: optimized geometry, PBE.

Structure (POSCAR):
```
SmDy3Ho4S8
1.0
7.815 0.000 0.000
0.000 7.820 -0.002
-3.907 -3.903 5.529
S Dy Ho Sm
8 3 4 1
Direct
0.253 0.244 0.999 S
0.746 0.244 0.492 S
0.254 0.756 0.001 S
0.254 0.756 0.508 S
0.746 0.244 0.999 S
0.751 0.752 0.501 S
0.747 0.756 0.001 S
0.249 0.248 0.499 S
0.500 0.500 0.000 Dy
0.500 0.500 0.500 Dy
0.000 0.500 0.500 Dy
0.500 0.000 0.000 Ho
0.500 0.000 0.500 Ho
0.000 0.000 0.500 Ho
0.000 0.000 0.000 Ho
0.000 0.500 0.000 Sm
```

Output
Formation energy from raw total energies ... -31.7 eV/f.u.

(10)
Cu3RhAu: optimized geometry, PBE.

Structure (POSCAR):
```
Cu3RhAu
1.0
4.297 0.000 0.841
0.000 5.509 0.000
1.035 0.000 6.146
Cu Au Rh
6 2 2
Direct
0.186 0.502 0.130 Cu
0.005 0.750 0.490 Cu
0.186 0.998 0.130 Cu
0.814 0.498 0.870 Cu
0.995 0.250 0.510 Cu
0.814 0.002 0.870 Cu
0.617 0.250 0.267 Au
0.383 0.750 0.733 Au
0.375 0.250 0.749 Rh
0.625 0.750 0.251 Rh
```

Output
Formation enthalpy at 0 K ... 0.091 eV per atom
E above lowest polymorph ... 20 meV/atom

(11)
PaCo2Re: optimized geometry, PBE.

Structure (POSCAR):
```
PaCo2Re
1.0
-3.163 -2.001 -0.654
1.115 -0.522 -3.793
1.908 -3.350 1.021
Pa Co Re
1 2 1
Direct
0.500 0.500 0.500 Pa
0.000 0.000 0.500 Co
0.000 0.500 0.000 Co
0.500 0.000 0.000 Re
```

Output
Formation enthalpy at 0 K ... -0.081 eV per atom
E above lowest polymorph ... 0 meV/atom

(12)
Ca2Zn5Ga4: optimized geometry, PBE.

Structure (POSCAR):
```
Ca2Zn5Ga4
1.0
5.604 0.000 0.000
2.802 4.717 0.000
2.802 0.000 8.239
Ga Zn Ca
4 5 2
Direct
0.483 0.300 0.734 Ga
0.783 0.700 0.734 Ga
0.517 0.700 0.266 Ga
0.217 0.300 0.266 Ga
0.500 0.500 0.000 Zn
0.250 0.500 0.500 Zn
0.000 0.500 0.000 Zn
0.500 0.000 0.000 Zn
0.750 0.500 0.500 Zn
0.876 0.000 0.248 Ca
0.124 0.000 0.752 Ca
```

Output
Formation enthalpy at 0 K ... -0.196 eV per atom

(13)
CaSnTe2: optimized geometry, PBE.

Structure (POSCAR):
```
CaSnTe2
1.0
-9.075 3.484 -0.648
-9.270 0.827 2.879
-7.719 4.945 3.297
Ca Te Sn
1 2 1
Direct
0.000 0.000 0.000 Ca
0.104 0.104 0.104 Te
0.896 0.896 0.896 Te
0.500 0.500 0.500 Sn
```

Output
Formation energy from raw total energies ... -1.3 eV/f.u.

(14)
BaZnTc3: optimized geometry, PBE.

Structure (POSCAR):
```
BaZnTc3
1.0
5.039 0.000 0.000
0.000 5.039 0.000
0.000 0.000 5.039
Tc Zn Ba
3 1 1
Direct
0.000 0.000 0.500 Tc
0.000 0.500 0.000 Tc
0.500 0.000 0.000 Tc
0.500 0.500 0.500 Zn
0.000 0.000 0.000 Ba
```

Output
Formation enthalpy at 0 K ... 2.937 eV per atom
E above lowest polymorph ... 1408 meV/atom

(15)
K4Y3TmSe8: optimized geometry, PBE.

Structure (POSCAR):
```
K4Y3TmSe8
1.0
-5.848 -1.061 -5.946
-5.334 -4.252 6.005
2.659 7.734 1.948
Y Tm Se K
3 1 8 4
Direct
0.000 0.500 0.500 Y
0.500 0.500 0.500 Y
0.500 0.500 0.000 Y
0.000 0.500 0.000 Tm
0.735 0.706 0.471 Se
0.767 0.296 0.029 Se
0.265 0.294 0.529 Se
0.262 0.296 0.029 Se
0.233 0.704 0.971 Se
0.767 0.296 0.533 Se
0.233 0.704 0.467 Se
0.738 0.704 0.971 Se
0.500 0.000 0.500 K
0.500 0.000 0.000 K
0.000 0.000 0.000 K
0.000 0.000 0.500 K
```

Output
Formation energy from raw total energies ... -28.3 eV/f.u.

(16)
Dy4GaS2Cl: optimized geometry, PBE.

Structure (POSCAR):
```
Dy4GaS2Cl
1.0
-2.442 -0.902 -2.869
3.799 -5.720 -1.436
-2.521 -5.305 3.814
Dy Cl S Ga
4 1 2 1
Direct
0.000 0.228 0.272 Dy
0.500 0.765 0.251 Dy
0.500 0.235 0.749 Dy
0.000 0.772 0.728 Dy
0.500 0.500 0.000 Cl
0.000 0.000 0.000 S
0.500 0.000 0.500 S
0.000 0.500 0.500 Ga
```

Output
Formation energy from raw total energies ... -11.8 eV/f.u.

(17)
SrCdTe2: optimized geometry, PBE.

Structure (POSCAR):
```
SrCdTe2
1.0
-5.245 2.265 -1.500
-2.555 -1.726 5.038
4.399 3.729 -1.277
Te Cd Sr
2 1 1
Direct
0.967 0.967 0.000 Te
0.533 0.533 0.000 Te
0.750 0.250 0.500 Cd
0.250 0.750 0.500 Sr
```

Output
Formation energy from raw total energies ... -3.0 eV/f.u.

(18)
KGa2GeTe: optimized geometry, PBE.

Structure (POSCAR):
```
KGa2GeTe
1.0
5.736 0.000 0.000
0.000 5.721 0.000
0.000 0.000 5.736
Te Ga Ge K
1 2 1 1
Direct
0.000 0.000 0.000 Te
0.000 0.000 0.500 Ga
0.500 0.000 0.000 Ga
0.000 0.500 0.000 Ge
0.500 0.500 0.500 K
```

Output
Formation energy from raw total energies ... 1.9 eV/f.u.

(19)
BaReP2Pb: optimized geometry, PBE.

Structure (POSCAR):
```
BaReP2Pb
1.0
-3.430 3.020 1.174
-3.228 -3.333 -0.857
0.359 -1.825 5.745
P Ba Pb Re
2 1 1 1
Direct
0.500 0.000 0.000 P
0.000 0.500 0.000 P
0.000 0.000 0.500 Ba
0.500 0.500 0.500 Pb
0.000 0.000 0.000 Re
```

Output
Formation enthalpy at 0 K ... 0.379 eV per atom

(20)
SiSbAsAu2: optimized geometry, PBE.

Structure (POSCAR):
```
SiSbAsAu2
1.0
-1.585 4.465 0.442
-0.798 -0.774 4.954
4.424 1.477 0.943
Au Sb As Si
2 1 1 1
Direct
0.000 0.000 0.500 Au
0.500 0.000 0.000 Au
0.500 0.500 0.500 Sb
0.000 0.500 0.000 As
0.000 0.000 0.000 Si
```

Output
Formation energy from raw total energies ... 2.2 eV/f.u.

Number 1: E -87.058 eV/cell, M_tot 0.000 μB per formula unit. Number 2: E -15.803 eV/cell, M_tot 7.234 μB per formula unit. Number 3: E -6.138 eV/cell, M_tot 0.000 μB per formula unit. Number 4: E -21.532 eV/cell, M_tot 4.153 μB per formula unit. Number 5: E -27.381 eV/cell, M_tot 0.000 μB per formula unit. Number 6: E -43.808 eV/cell, M_tot 0.001 μB per formula unit. Number 7: E -45.436 eV/cell, M_tot 1.562 μB per formula unit. Number 8: E -114.617 eV/cell, M_tot 0.000 μB per formula unit. Number 9: E -101.574 eV/cell, M_tot 0.000 μB per formula unit. Number 10: E -44.923 eV/cell, M_tot 0.000 μB per formula unit. Number 11: E -36.479 eV/cell, M_tot 0.006 μB per formula unit. Number 12: E -24.636 eV/cell, M_tot 0.000 μB per formula unit. Number 13: E -13.596 eV/cell, M_tot 0.000 μB per formula unit. Number 14: E -19.607 eV/cell, M_tot 6.312 μB per formula unit. Number 15: E -84.412 eV/cell, M_tot 0.000 μB per formula unit. Number 16: E -43.349 eV/cell, M_tot 0.000 μB per formula unit. Number 17: E -11.910 eV/cell, M_tot 0.000 μB per formula unit. Number 18: E -13.005 eV/cell, M_tot 0.000 μB per formula unit. Number 19: E -27.006 eV/cell, M_tot 0.213 μB per formula unit. Number 20: E -18.542 eV/cell, M_tot 0.000 μB per formula unit.